VASP calculation (GGA+U) on a relaxed structure of Na2Ni2AsO6. Values from VASP.

Properties
SG   No. 12

Cell and atoms, written as Quantum ESPRESSO input:
```
&SYSTEM
  ibrav = 0, nat = 11, ntyp = 4
/
ATOMIC_SPECIES
Na 22.99 Na.upf
Ni 58.69 Ni.upf
As 74.92 As.upf
O 16.00 O.upf
ATOMIC_POSITIONS crystal
Na 0.1747 0.8253 0.0000
Na 0.8253 0.1747 0.0000
Ni 0.3341 0.6659 0.5000
Ni 0.6659 0.3341 0.5000
As 0.0000 0.0000 0.5000
O 0.0579 0.3707 0.6917
O 0.2384 0.2384 0.3159
O 0.3707 0.0579 0.6917
O 0.6293 0.9421 0.3083
O 0.7616 0.7616 0.6841
O 0.9421 0.6293 0.3083
CELL_PARAMETERS angstrom
2.6034 -4.3465 0.0000
2.6034 4.3465 0.0000
-1.9320 0.0000 5.4723
```

VASP calculation (GGA+U) on a relaxed structure of Na3Ni3AsO8. Values from VASP.

Properties
SG   No. 12

Cell and atoms, written as Quantum ESPRESSO input:
```
&SYSTEM
  ibrav = 0, nat = 15, ntyp = 4
/
ATOMIC_SPECIES
Na 22.99 Na.upf
Ni 58.69 Ni.upf
As 74.92 As.upf
O 16.00 O.upf
ATOMIC_POSITIONS crystal
Na 0.0000 0.0000 0.0000
Na 0.0000 0.5000 0.0000
Na 0.5000 0.0000 0.0000
Ni 0.0000 0.5000 0.5000
Ni 0.5000 0.0000 0.5000
Ni 0.5000 0.5000 0.5000
As 0.0000 0.0000 0.5000
O 0.2165 0.2165 0.6866
O 0.2186 0.7624 0.6929
O 0.2376 0.7814 0.3071
O 0.2708 0.2708 0.3167
O 0.7292 0.7292 0.6833
O 0.7624 0.2186 0.6929
O 0.7814 0.2376 0.3071
O 0.7835 0.7835 0.3134
CELL_PARAMETERS angstrom
5.1809 -2.9496 0.0000
5.1809 2.9496 0.0000
-3.4087 0.0000 5.4714
```

VASP calculation (GGA+U) on a relaxed structure of NaNiAs2O8. Values from VASP.

Properties
SG   No. 147

Cell and atoms, written as Quantum ESPRESSO input:
```
&SYSTEM
  ibrav = 0, nat = 12, ntyp = 4
/
ATOMIC_SPECIES
Na 22.99 Na.upf
Ni 58.69 Ni.upf
As 74.92 As.upf
O 16.00 O.upf
ATOMIC_POSITIONS crystal
Na 0.0000 0.0000 0.0000
Ni 0.0000 0.0000 0.5000
As 0.3333 0.6667 0.6224
As 0.6667 0.3333 0.3776
O 0.1643 0.3308 0.7089
O 0.1666 0.8357 0.7089
O 0.3308 0.1666 0.2911
O 0.3333 0.6667 0.3385
O 0.6667 0.3333 0.6615
O 0.6692 0.8334 0.7089
O 0.8334 0.1643 0.2911
O 0.8357 0.6692 0.2911
CELL_PARAMETERS angstrom
5.6137 0.0000 0.0000
-2.8069 4.8616 0.0000
0.0000 0.0000 6.2202
```

Number 1: raw total energy -56.687 eV per cell. Number 2: raw total energy -74.869 eV per cell. Number 3: raw total energy -62.924 eV per cell.